Run P
A plane-wave DFT calculation with PBE-GGA was carried out for crystalline Dy3AlCd2 at its relaxed geometry.

Computed properties:
The calculated volume comes out at 25.35 Å³/atom.

Cell lengths 5.2282, 5.2282, 6.4249 Å; angles 90.00, 90.00, 120.00 degrees
Closest atoms and distances in Å follow each position.
Fractional positions:
Dy  0.0000  0.0000  0.0000  6 Cd 3.19, 2 Al 3.21
Dy  0.3333  0.6667  0.6584  3 Al 3.19, 5 Cd 3.21-3.24
Dy  0.6667  0.3333  0.3416  3 Al 3.19, 5 Cd 3.21-3.24
Al  0.0000  0.0000  0.5000  8 Dy 3.19-3.21
Cd  0.3333  0.6667  0.1591  8 Dy 3.19-3.24
Cd  0.6667  0.3333  0.8409  8 Dy 3.19-3.24


Run Q
A plane-wave DFT calculation with PBE-GGA was carried out for crystalline Dy3AlCd2 at its relaxed geometry.

Computed properties:
The calculated volume comes out at 25.27 Å³/atom.

Cell lengths 3.6687, 3.6687, 11.2656 Å; angles 90.00, 90.00, 90.00 degrees
Closest atoms and distances in Å follow each position.
Fractional positions:
Dy  0.0000  0.0000  0.0000  8 Cd 3.23
Dy  0.0000  0.0000  0.3430  4 Al 3.14, 4 Cd 3.24
Dy  0.0000  0.0000  0.6570  4 Al 3.14, 4 Cd 3.24
Al  0.5000  0.5000  0.5000  8 Dy 3.14
Cd  0.5000  0.5000  0.1703  8 Dy 3.23-3.24
Cd  0.5000  0.5000  0.8297  8 Dy 3.23-3.24


It is run Q that is most stable; the runner-up trails by 0.7 kJ/mol of atoms.


Run P
A plane-wave DFT calculation with PBE-GGA was carried out for crystalline Dy4Al2Cd at its relaxed geometry.

Computed properties:
The calculated volume comes out at 26.88 Å³/atom.

Cell lengths 8.7671, 8.7671, 8.7671 Å; angles 34.03, 34.03, 34.03 degrees
Closest atoms and distances in Å follow each position.
Fractional positions:
Dy  0.1170  0.1170  0.1170  4 Al 3.06-3.22, 3 Cd 3.21
Dy  0.3698  0.3698  0.3698  4 Al 3.04-3.21, 1 Cd 3.22
Dy  0.6302  0.6302  0.6302  4 Al 3.04-3.21, 1 Cd 3.22
Dy  0.8830  0.8830  0.8830  4 Al 3.06-3.22, 3 Cd 3.21
Al  0.2470  0.2470  0.2470  8 Dy 3.04-3.22
Al  0.7530  0.7530  0.7530  8 Dy 3.04-3.22
Cd  0.5000  0.5000  0.5000  8 Dy 3.21-3.22, 6 Al 3.57


Run Q
A plane-wave DFT calculation with PBE-GGA was carried out for crystalline Dy4Al2Cd at its relaxed geometry.

Computed properties:
The calculated volume comes out at 28.82 Å³/atom.

Cell lengths 9.5240, 9.5240, 9.5240 Å; angles 30.87, 30.87, 30.87 degrees
Closest atoms and distances in Å follow each position.
Fractional positions:
Dy  0.1194  0.1194  0.1194  3 Cd 3.20, 3 Al 3.21
Dy  0.2940  0.2940  0.2940  4 Al 3.00-3.05
Dy  0.7060  0.7060  0.7060  4 Al 3.00-3.05
Dy  0.8806  0.8806  0.8806  3 Cd 3.20, 3 Al 3.21
Al  0.4043  0.4043  0.4043  1 Cd 2.60
Al  0.5957  0.5957  0.5957  1 Cd 2.60
Cd  0.5000  0.5000  0.5000  2 Al 2.60


It is run P that is most stable; the runner-up trails by 16.6 kJ/mol of atoms.


Run P
A plane-wave DFT calculation with PBE-GGA was carried out for crystalline Dy4AlCd3 at its relaxed geometry.

Computed properties:
The calculated volume comes out at 26.03 Å³/atom.

Cell lengths 3.6139, 4.8130, 11.9740 Å; angles 90.00, 90.00, 90.00 degrees
Closest atoms and distances in Å follow each position.
Fractional positions:
Dy  0.0000  0.0000  0.0000  5 Cd 3.19-3.25, 2 Al 3.28
Dy  0.0000  0.5000  0.3132  4 Al 3.18, 3 Cd 3.23-3.25
Dy  0.5000  0.0000  0.4906  1 Al 3.14, 6 Cd 3.20-3.37
Dy  0.5000  0.5000  0.8179  7 Cd 3.19-3.35
Al  0.5000  0.0000  0.2286  2 Cd 2.94, 7 Dy 3.14-3.28
Cd  0.0000  0.0000  0.7283  2 Cd 2.97, 5 Dy 3.19-3.25
Cd  0.0000  0.5000  0.5825  2 Cd 2.97, 5 Dy 3.20-3.23
Cd  0.5000  0.5000  0.0871  2 Al 2.94, 7 Dy 3.19-3.25


Run Q
A plane-wave DFT calculation with PBE-GGA was carried out for crystalline Dy4AlCd3 at its relaxed geometry.

Computed properties:
The calculated volume comes out at 25.52 Å³/atom.

Cell lengths 3.6871, 3.6871, 15.0154 Å; angles 90.00, 90.00, 90.00 degrees
Closest atoms and distances in Å follow each position.
Fractional positions:
Dy  0.0000  0.0000  0.1172  4 Al 3.15, 4 Cd 3.24, 1 Dy 3.52
Dy  0.0000  0.0000  0.3723  8 Cd 3.23-3.24
Dy  0.0000  0.0000  0.6277  8 Cd 3.23-3.24
Dy  0.0000  0.0000  0.8828  4 Al 3.15, 4 Cd 3.24, 1 Dy 3.52
Al  0.5000  0.5000  0.0000  8 Dy 3.15
Cd  0.5000  0.5000  0.2451  8 Dy 3.23-3.24
Cd  0.5000  0.5000  0.5000  8 Dy 3.24
Cd  0.5000  0.5000  0.7549  8 Dy 3.23-3.24


It is run Q that is most stable; the runner-up trails by 5.6 kJ/mol of atoms.


Run P
A plane-wave DFT calculation with PBE-GGA was carried out for crystalline Dy8Al2Cd at its relaxed geometry.

Computed properties:
The calculated volume comes out at 27.82 Å³/atom.

Cell lengths 8.7490, 8.7490, 8.7490 Å; angles 146.69, 122.51, 68.09 degrees
Closest atoms and distances in Å follow each position.
Fractional positions:
Dy  0.1256  0.3400  0.7856  3 Al 3.13-3.19, 1 Cd 3.34, 5 Dy 3.37-3.48
Dy  0.1439  0.1439  0.0000  2 Cd 3.26, 8 Dy 3.37-3.48, 2 Al 3.43
Dy  0.3151  0.0000  0.3151  7 Dy 3.11-3.43, 2 Al 3.23
Dy  0.4456  0.6600  0.7856  3 Al 3.13-3.19, 1 Cd 3.34, 5 Dy 3.37-3.48
Dy  0.5544  0.3400  0.2144  3 Al 3.13-3.19, 1 Cd 3.34, 5 Dy 3.37-3.48
Dy  0.6849  0.0000  0.6849  7 Dy 3.11-3.43, 2 Al 3.23
Dy  0.8561  0.8561  0.0000  2 Cd 3.26, 8 Dy 3.37-3.48, 2 Al 3.43
Dy  0.8744  0.6600  0.2144  3 Al 3.13-3.19, 1 Cd 3.34, 5 Dy 3.37-3.48
Al  0.3050  0.8050  0.5000  10 Dy 3.13-3.43
Al  0.6950  0.1950  0.5000  10 Dy 3.13-3.43
Cd  0.0000  0.5000  0.5000  12 Dy 3.26-3.65


Run Q
A plane-wave DFT calculation with PBE-GGA was carried out for crystalline Dy8Al2Cd at its relaxed geometry.

Computed properties:
The calculated volume comes out at 27.65 Å³/atom.

Cell lengths 8.4296, 8.4296, 8.3633 Å; angles 118.10, 118.10, 36.10 degrees
Closest atoms and distances in Å follow each position.
Fractional positions:
Dy  0.0653  0.0653  0.2199  1 Al 3.06, 3 Dy 3.21-3.25
Dy  0.1425  0.1425  0.6975  3 Al 3.12-3.22, 2 Cd 3.32
Dy  0.3173  0.3173  0.5461  1 Al 3.08, 1 Cd 3.14, 4 Dy 3.23-3.25
Dy  0.3996  0.3996  0.0430  3 Al 3.17, 1 Cd 3.33, 2 Dy 3.49
Dy  0.6004  0.6004  0.9570  3 Al 3.17, 1 Cd 3.33, 2 Dy 3.49
Dy  0.6827  0.6827  0.4539  1 Al 3.08, 1 Cd 3.14, 4 Dy 3.23-3.25
Dy  0.8575  0.8575  0.3025  3 Al 3.12-3.22, 2 Cd 3.32
Dy  0.9347  0.9347  0.7801  1 Al 3.06, 3 Dy 3.21-3.25
Al  0.2262  0.2262  0.1234  8 Dy 3.06-3.22
Al  0.7738  0.7738  0.8766  8 Dy 3.06-3.22
Cd  0.5000  0.5000  0.5000  8 Dy 3.14-3.33


It is run Q that is most stable; the runner-up trails by 5.6 kJ/mol of atoms.